1.
Below is a geometry-optimized CdFeBiSb2 structure, with properties calculated at the PBE level.

Unit cell a=4.8079 b=4.8079 c=5.7315 alpha=90.00 beta=90.00 gamma=90.00
With the nearest neighbours (Å) after each atom.
Space group P4/mmm (No. 123)
One atom of each set of equivalent atoms:
Cd1 0.0000 0.0000 0.0000  4 Bi 3.40, 8 Sb 3.74
Fe1 0.5000 0.5000 0.5000  4 Sb 2.40
Bi1 0.5000 0.5000 0.0000  2 Fe 2.87
Sb1 0.0000 0.5000 0.5000  2 Fe 2.40

Computed properties:
Its formation energy from raw total energies is 0.36 eV per atom.


2.
Below is a geometry-optimized Cd2FeBiSe structure, with properties calculated at the PBE level.

Unit cell a=5.1421 b=5.1421 c=4.8685 alpha=90.00 beta=90.00 gamma=90.00
With the nearest neighbours (Å) after each atom.
Space group P4/mmm (No. 123)
One atom of each set of equivalent atoms:
Cd1 0.0000 0.5000 0.0000  2 Fe 2.57
Fe1 0.0000 0.0000 0.0000  2 Bi 2.43, 4 Cd 2.57
Bi1 0.0000 0.0000 0.5000  2 Fe 2.43
Se1 0.5000 0.5000 0.5000  8 Cd 3.54, 4 Bi 3.64

Computed properties:
Its formation energy from raw total energies is 0.41 eV per atom.


3.
Below is a geometry-optimized CdGaBi2 structure, with properties calculated at the PBE level.

Unit cell a=3.8503 b=3.8503 c=7.2747 alpha=90.00 beta=90.00 gamma=90.00
With the nearest neighbours (Å) after each atom.
Space group P4/mmm (No. 123)
One atom of each set of equivalent atoms:
Cd1 0.0000 0.0000 0.0000  8 Bi 3.33, 2 Ga 3.64
Ga1 0.0000 0.0000 0.5000  8 Bi 3.22
Bi1 0.5000 0.5000 0.2624  4 Ga 3.22, 4 Cd 3.33, 1 Bi 3.46

Computed properties:
For the energy relative to the elements, the calculation gives 9.9 kJ per mole of atoms.


4.
Below is a geometry-optimized CdGa2Bi2 structure, with properties calculated at the PBE level.

Unit cell a=8.9613 b=8.9613 c=3.4189 alpha=90.00 beta=90.00 gamma=90.00
With the nearest neighbours (Å) after each atom.
Space group P4/mbm (No. 127)
One atom of each set of equivalent atoms:
Cd1 0.0000 0.0000 0.0000  4 Bi 3.30, 2 Cd 3.42
Ga1 0.1206 0.3794 0.5000  3 Ga 3.06-3.42, 6 Bi 3.09-3.20
Bi1 0.1759 0.6759 0.0000  6 Ga 3.09-3.20, 2 Cd 3.30, 2 Bi 3.42

Computed properties:
For the energy relative to the elements, the calculation gives 11.1 kJ per mole of atoms.


5.
Below is a geometry-optimized CdGa2Bi2 structure, with properties calculated at the PBE level.

Unit cell a=7.3438 b=7.3438 c=4.7816 alpha=90.00 beta=90.00 gamma=90.00
With the nearest neighbours (Å) after each atom.
Space group P4/mbm (No. 127)
One atom of each set of equivalent atoms:
Cd1 0.0000 0.0000 0.0000  4 Ga 2.91
Ga1 0.1227 0.3773 0.0000  1 Ga 2.55
Bi1 0.2063 0.7063 0.5000  2 Ga 2.98

Computed properties:
For the energy relative to the elements, the calculation gives 10.7 kJ per mole of atoms.


6.
Below is a geometry-optimized Cd3Ga3Bi structure, with properties calculated at the PBE level.

Unit cell a=7.5383 b=7.5383 c=7.5383 alpha=90.00 beta=90.00 gamma=90.00
With the nearest neighbours (Å) after each atom.
Space group Pm-3n (No. 223)
One atom of each set of equivalent atoms:
Cd1 0.0000 0.2500 0.5000  4 Ga 2.67
Ga1 0.0000 0.5000 0.2500  4 Cd 2.67
Bi1 0.0000 0.0000 0.0000  12 Cd 4.21, 12 Ga 4.21

Computed properties:
For the energy relative to the elements, the calculation gives 44.3 kJ per mole of atoms.


7.
Below is a geometry-optimized Cd4GaBi structure, with properties calculated at the PBE level.

Unit cell a=8.4337 b=8.4337 c=8.4337 alpha=90.00 beta=90.00 gamma=90.00
With the nearest neighbours (Å) after each atom.
Space group F-43m (No. 216)
One atom of each set of equivalent atoms:
Cd1 0.1253 0.1253 0.1253  6 Cd 2.98-2.99
Ga1 0.0000 0.0000 0.5000  12 Cd 3.50, 4 Bi 3.65
Bi1 0.2500 0.2500 0.7500  12 Cd 3.50, 4 Ga 3.65

Computed properties:
For the energy relative to the elements, the calculation gives 12.5 kJ per mole of atoms.


8.
Below is a geometry-optimized CdGa2Bi2 structure, with properties calculated at the PBE level.

Unit cell a=5.1669 b=5.1669 c=10.6363 alpha=90.00 beta=90.00 gamma=90.00
With the nearest neighbours (Å) after each atom.
Space group I4/mmm (No. 139)
One atom of each set of equivalent atoms:
Cd1 0.0000 0.0000 0.0000  8 Bi 3.71, 10 Ga 3.86-4.08
Ga1 0.0000 0.0000 0.3838  1 Ga 2.47
Bi1 0.0000 0.5000 0.2500  4 Ga 2.95

Computed properties:
For the energy relative to the elements, the calculation gives 14.9 kJ per mole of atoms.


9.
Below is a geometry-optimized Cd2GaBi2 structure, with properties calculated at the PBE level.

Unit cell a=4.2828 b=4.2828 c=15.7819 alpha=90.00 beta=90.00 gamma=90.00
With the nearest neighbours (Å) after each atom.
Space group I4/mmm (No. 139)
One atom of each set of equivalent atoms:
Cd1 0.0000 0.5000 0.2500  4 Cd 3.03, 4 Bi 3.12
Ga1 0.0000 0.0000 0.0000  8 Bi 3.46
Bi1 0.0000 0.0000 0.3936  4 Cd 3.12, 1 Bi 3.36, 4 Ga 3.46

Computed properties:
For the energy relative to the elements, the calculation gives 12.6 kJ per mole of atoms.


10.
Below is a geometry-optimized Cd3Ga12Bi5 structure, with properties calculated at the PBE level.

Unit cell a=16.4815 b=16.4815 c=16.4815 alpha=90.00 beta=90.00 gamma=90.00
With the nearest neighbours (Å) after each atom.
Space group Ia-3d (No. 230)
One atom of each set of equivalent atoms:
Cd1 0.0000 0.2500 0.1250  4 Ga 2.74
Ga1 0.0117 0.0871 0.6550  1 Cd 2.74, 1 Ga 2.78, 2 Bi 2.83-2.94
Bi1 0.0000 0.0000 0.0000  6 Ga 2.94
Bi2 0.0000 0.2500 0.3750  4 Ga 2.83

Computed properties:
For the energy relative to the elements, the calculation gives 16.0 kJ per mole of atoms.


11.
Below is a geometry-optimized CdGaBi2 structure, with properties calculated at the PBE level.

Unit cell a=6.7079 b=6.7079 c=12.7052 alpha=90.00 beta=90.00 gamma=90.00
With the nearest neighbours (Å) after each atom.
Space group I-42d (No. 122)
One atom of each set of equivalent atoms:
Cd1 0.0000 0.0000 0.0000  4 Bi 2.93
Ga1 0.0000 0.0000 0.5000  4 Bi 2.78
Bi1 0.2309 0.2500 0.6250  2 Ga 2.78, 2 Cd 2.93

Computed properties:
For the energy relative to the elements, the calculation gives 10.4 kJ per mole of atoms.


12.
Below is a geometry-optimized Cd4GaBi structure, with properties calculated at the PBE level.

Unit cell a=3.2502 b=3.2502 c=13.6867 alpha=90.00 beta=90.00 gamma=90.00
With the nearest neighbours (Å) after each atom.
Space group P4/mmm (No. 123)
One atom of each set of equivalent atoms:
Cd1 0.0000 0.0000 0.1517  4 Ga 3.10, 8 Cd 3.15-3.25
Cd2 0.5000 0.5000 0.3094  8 Cd 3.15-3.25, 4 Bi 3.48
Ga1 0.5000 0.5000 0.0000  8 Cd 3.10, 4 Ga 3.25
Bi1 0.0000 0.0000 0.5000  4 Bi 3.25, 8 Cd 3.48

Computed properties:
For the energy relative to the elements, the calculation gives 6.3 kJ per mole of atoms.


13.
Below is a geometry-optimized Cd2GaBi2 structure, with properties calculated at the PBE level.

Unit cell a=8.8561 b=8.8561 c=3.6066 alpha=90.00 beta=90.00 gamma=90.00
With the nearest neighbours (Å) after each atom.
Space group P4/mbm (No. 127)
One atom of each set of equivalent atoms:
Cd1 0.1267 0.3733 0.0000  6 Bi 3.10-3.23, 1 Cd 3.17
Ga1 0.0000 0.0000 0.0000  4 Cd 3.49, 2 Ga 3.61, 8 Bi 3.74
Bi1 0.1720 0.6720 0.5000  6 Cd 3.10-3.23

Computed properties:
For the energy relative to the elements, the calculation gives 14.0 kJ per mole of atoms.


14.
Below is a geometry-optimized CdGaBi2 structure, with properties calculated at the PBE level.

Unit cell a=4.9658 b=4.9658 c=4.4295 alpha=90.00 beta=90.00 gamma=90.00
With the nearest neighbours (Å) after each atom.
Space group P4/mmm (No. 123)
One atom of each set of equivalent atoms:
Cd1 0.0000 0.0000 0.0000  8 Bi 3.33, 4 Ga 3.51
Ga1 0.5000 0.5000 0.0000  8 Bi 3.33, 4 Cd 3.51
Bi1 0.0000 0.5000 0.5000  4 Cd 3.33, 4 Ga 3.33, 4 Bi 3.51

Computed properties:
For the energy relative to the elements, the calculation gives 8.9 kJ per mole of atoms.


15.
Below is a geometry-optimized CdGaBi2 structure, with properties calculated at the PBE level.

Unit cell a=4.6249 b=4.6249 c=19.3757 alpha=90.00 beta=90.00 gamma=120.00
With the nearest neighbours (Å) after each atom.
Space group R3m (No. 160, hexagonal axes)
One atom of each set of equivalent atoms:
Cd1 0.0000 0.0000 0.0000  6 Bi 3.08-3.09, 1 Ga 3.28
Ga1 0.0000 0.0000 0.1695  6 Bi 3.13-3.18, 1 Cd 3.28
Bi1 0.0000 0.0000 0.4136  3 Cd 3.09, 3 Ga 3.18, 1 Bi 3.36
Bi2 0.0000 0.0000 0.5872  3 Cd 3.08, 3 Ga 3.13, 1 Bi 3.36

Computed properties:
For the energy relative to the elements, the calculation gives 12.4 kJ per mole of atoms.


16.
Below is a geometry-optimized CdGaBi2 structure, with properties calculated at the PBE level.

Unit cell a=3.4077 b=3.4077 c=34.4587 alpha=90.00 beta=90.00 gamma=120.00
With the nearest neighbours (Å) after each atom.
Space group R-3m (No. 166, hexagonal axes)
One atom of each set of equivalent atoms:
Cd1 0.0000 0.0000 0.0000  2 Bi 3.12, 6 Cd 3.41
Ga1 0.0000 0.0000 0.5000  6 Bi 3.28, 6 Ga 3.41
Bi1 0.0000 0.0000 0.0907  1 Cd 3.12, 3 Ga 3.28, 6 Bi 3.41

Computed properties:
For the energy relative to the elements, the calculation gives 11.6 kJ per mole of atoms.


17.
Below is a geometry-optimized Cd12Ga5Bi3 structure, with properties calculated at the PBE level.

Unit cell a=16.7837 b=16.7837 c=16.7837 alpha=90.00 beta=90.00 gamma=90.00
With the nearest neighbours (Å) after each atom.
Space group Ia-3d (No. 230)
One atom of each set of equivalent atoms:
Cd1 0.0216 0.0697 0.6486  2 Ga 2.70-2.78
Ga1 0.0000 0.0000 0.0000  6 Cd 2.78
Ga2 0.0000 0.2500 0.3750  4 Cd 2.70
Bi1 0.0000 0.2500 0.1250  8 Cd 3.07-3.21

Computed properties:
For the energy relative to the elements, the calculation gives 18.1 kJ per mole of atoms.